# 1
Density functional theory data (PBE) for crystalline Hg2Os at its relaxed geometry.

ΔE_f in eV per formula unit: 2.56
Raw total energy in eV per atom: -3.0897
N(E_F) in states/eV/atom: 0.871

Geometry as POSCAR:
```
Hg2Os
1.0
-1.992 1.665 1.453
-0.582 -2.863 -0.563
3.131 -1.913 6.486
Hg Os
2 1
direct
0.000 0.000 0.018
0.333 0.667 0.649
0.667 0.333 0.333
```

# 2
Density functional theory data (PBE) for crystalline Hg5Os at its relaxed geometry.

Energy above the most stable polymorph in this dataset in meV/atom: 647.0
ΔE_f in eV per formula unit: 6.22
Raw total energy in eV per atom: -1.0860
N(E_F) in states/eV/atom: 0.912

Geometry as POSCAR:
```
Hg5Os
1.0
-2.296 4.905 0.044
-2.812 -4.291 -1.736
-1.952 -0.963 5.545
Hg Os
5 1
direct
0.000 0.500 0.500
0.333 0.667 0.000
0.500 0.000 0.500
0.500 0.500 0.500
0.667 0.333 0.000
0.000 0.000 0.000
```

# 3
Density functional theory data (PBE) for crystalline HgOs at its relaxed geometry.

Energy above the most stable polymorph in this dataset in meV/atom: 257.1
ΔE_f in eV per formula unit: 1.31
Raw total energy in eV per atom: -5.1083
N(E_F) in states/eV/atom: 0.905

Geometry as POSCAR:
```
HgOs
1.0
1.419 4.516 0.253
-1.419 4.516 0.253
0.000 1.976 9.282
Hg Os
3 3
direct
0.903 0.403 0.707
0.597 0.097 0.293
0.250 0.750 0.500
0.250 0.750 0.000
0.937 0.437 0.111
0.563 0.063 0.889
```